Co2Ni | meta-GGA SCAN | single point on PBEsol structure

Output
Formation energy   4.2 meV per atom
Total magnetization   1.44 μB per atom

Unit cell a=10.6037 b=10.6037 c=10.6037 alpha=161.17 beta=161.17 gamma=26.75
Element x y z (fractional)
Co: 0.1244 0.3744 0.7500
Co: 0.2919 0.5419 0.7500
Co: 0.3744 0.1244 0.2500
Co: 0.4581 0.7081 0.7500
Co: 0.5419 0.2919 0.2500
Co: 0.6256 0.8756 0.7500
Co: 0.7081 0.4581 0.2500
Co: 0.8756 0.6256 0.2500
Ni: 0.0419 0.7919 0.2500
Ni: 0.2081 0.9581 0.2500
Ni: 0.7919 0.0419 0.7500
Ni: 0.9581 0.2081 0.7500